First-principles (PBE) data for KIrSe2N after structural relaxation, as listed in Alexandria via LeMat-Bulk.

Summary:
Energy above the lowest structure with this stoichiometry, meV/atom: 0.0
Calculated density, g/cm3: 6.17

```
data_KIrSe2N
_chemical_formula_sum 'K1 Ir1 Se2 N1'
_symmetry_space_group_name_H-M 'P 4/m m m'
_symmetry_Int_Tables_number 123
_symmetry_space_group_name_Hall '-P 4 2'
_cell_length_a 5.442
_cell_length_b 5.442
_cell_length_c 3.666
_cell_angle_alpha 90.00
_cell_angle_beta 90.00
_cell_angle_gamma 90.00
loop_
_atom_site_label
_atom_site_type_symbol
_atom_site_fract_x
_atom_site_fract_y
_atom_site_fract_z
K1 K 0.000 0.000 0.000
Ir1 Ir 0.500 0.500 0.500
Se1 Se 0.000 0.500 0.500
N1 N 0.500 0.500 0.000
```

***

First-principles (PBE) data for KIrSe2N after structural relaxation, as listed in Alexandria via LeMat-Bulk.

Summary:
Energy above the lowest structure with this stoichiometry, meV/atom: 2435.2
Calculated density, g/cm3: 4.59

```
data_KIrSe2N
_chemical_formula_sum 'K1 Ir1 Se2 N1'
_symmetry_space_group_name_H-M 'P 4/m m m'
_symmetry_Int_Tables_number 123
_symmetry_space_group_name_Hall '-P 4 2'
_cell_length_a 5.601
_cell_length_b 5.601
_cell_length_c 4.650
_cell_angle_alpha 90.00
_cell_angle_beta 90.00
_cell_angle_gamma 90.00
loop_
_atom_site_label
_atom_site_type_symbol
_atom_site_fract_x
_atom_site_fract_y
_atom_site_fract_z
K1 K 0.000 0.000 0.000
Ir1 Ir 0.500 0.500 0.500
Se1 Se 0.000 0.500 0.000
N1 N 0.000 0.000 0.500
```

***

no.,total magnetic moment (μB/f.u.),raw formation energy (eV/atom),calculated volume (A^3/atom)
1,0.00,0.013,21.72
2,5.70,2.448,29.18